No. 1
VASP calculation (GGA-PBE) on a geometry-optimized NaBAu2O structure.

Properties
* density of states at the Fermi level: 0.970 states/eV per cell
* E_form (uncorrected): 0.672 eV/atom

The structure in CIF format:
```
data_NaBAu2O
_space_group_name_H-M_alt 'P 1'
_space_group_IT_number 1
_cell_length_a 4.445
_cell_length_b 4.265
_cell_length_c 4.445
_cell_angle_alpha 90.00
_cell_angle_beta 90.00
_cell_angle_gamma 90.00
loop_
_space_group_symop_operation_xyz
'x,y,z'
loop_
_atom_site_label
_atom_site_fract_x
_atom_site_fract_y
_atom_site_fract_z
Na1 0.000 0.500 0.000
B1 0.500 0.500 0.500
Au1 0.500 0.000 0.000
Au2 0.000 0.000 0.500
O1 0.000 0.000 0.000
```


No. 2
VASP calculation (GGA-PBE) on a geometry-optimized NaB2OsAu structure.

Properties
* density of states at the Fermi level: 4.292 states/eV per cell
* DFT total energy: -14.8 eV for the cell shown

The structure in CIF format:
```
data_NaB2OsAu
_space_group_name_H-M_alt 'P 1'
_space_group_IT_number 1
_cell_length_a 4.226
_cell_length_b 4.690
_cell_length_c 4.226
_cell_angle_alpha 90.00
_cell_angle_beta 90.00
_cell_angle_gamma 90.00
loop_
_space_group_symop_operation_xyz
'x,y,z'
loop_
_atom_site_label
_atom_site_fract_x
_atom_site_fract_y
_atom_site_fract_z
Au1 0.000 0.500 0.000
Os1 0.500 0.500 0.500
B1 0.500 0.000 0.000
B2 0.000 0.000 0.500
Na1 0.000 0.000 0.000
```


No. 3
VASP calculation (GGA-PBE) on a geometry-optimized NaB2PbAu structure.

Properties
* density of states at the Fermi level: 1.964 states/eV per cell
* DFT total energy: -13.1 eV for the cell shown

The structure in CIF format:
```
data_NaB2PbAu
_space_group_name_H-M_alt 'P 1'
_space_group_IT_number 1
_cell_length_a 4.634
_cell_length_b 5.992
_cell_length_c 4.634
_cell_angle_alpha 90.00
_cell_angle_beta 90.00
_cell_angle_gamma 90.00
loop_
_space_group_symop_operation_xyz
'x,y,z'
loop_
_atom_site_label
_atom_site_fract_x
_atom_site_fract_y
_atom_site_fract_z
B1 0.000 0.000 0.500
B2 0.500 0.000 0.000
Pb1 0.000 0.000 0.000
Au1 0.500 0.500 0.500
Na1 0.000 0.500 0.000
```


No. 4
VASP calculation (GGA-PBE) on a geometry-optimized NaBPd2Au structure.

Properties
* density of states at the Fermi level: 1.970 states/eV per cell
* DFT total energy: -22.5 eV for the cell shown

The structure in CIF format:
```
data_NaBPd2Au
_space_group_name_H-M_alt 'P 1'
_space_group_IT_number 1
_cell_length_a 4.237
_cell_length_b 4.237
_cell_length_c 4.429
_cell_angle_alpha 90.00
_cell_angle_beta 90.00
_cell_angle_gamma 90.00
loop_
_space_group_symop_operation_xyz
'x,y,z'
loop_
_atom_site_label
_atom_site_fract_x
_atom_site_fract_y
_atom_site_fract_z
Au1 0.000 0.000 0.500
B1 0.000 0.000 0.000
Na1 0.500 0.500 0.500
Pd1 0.000 0.500 0.000
Pd2 0.500 0.000 0.000
```


No. 5
VASP calculation (GGA-PBE) on a geometry-optimized NaBPtAu2 structure.

Properties
* density of states at the Fermi level: 1.877 states/eV per cell
* ΔE to the lowest computed polymorph: 10.00 eV per formula unit

The structure in CIF format:
```
data_NaBPtAu2
_space_group_name_H-M_alt 'P 1'
_space_group_IT_number 1
_cell_length_a 4.875
_cell_length_b 4.837
_cell_length_c 4.875
_cell_angle_alpha 90.00
_cell_angle_beta 90.00
_cell_angle_gamma 90.00
loop_
_space_group_symop_operation_xyz
'x,y,z'
loop_
_atom_site_label
_atom_site_fract_x
_atom_site_fract_y
_atom_site_fract_z
Au1 0.500 0.000 0.000
Au2 0.000 0.000 0.500
Pt1 0.000 0.500 0.000
B1 0.500 0.500 0.500
Na1 0.000 0.000 0.000
```


No. 6
VASP calculation (GGA-PBE) on a geometry-optimized NaBPtAu2 structure.

Properties
* density of states at the Fermi level: 1.591 states/eV per cell
* ΔE to the lowest computed polymorph: 0.00 eV per formula unit

The structure in CIF format:
```
data_NaBPtAu2
_space_group_name_H-M_alt 'P 1'
_space_group_IT_number 1
_cell_length_a 4.470
_cell_length_b 4.470
_cell_length_c 4.209
_cell_angle_alpha 90.00
_cell_angle_beta 90.00
_cell_angle_gamma 90.00
loop_
_space_group_symop_operation_xyz
'x,y,z'
loop_
_atom_site_label
_atom_site_fract_x
_atom_site_fract_y
_atom_site_fract_z
B1 0.000 0.000 0.000
Na1 0.500 0.500 0.500
Pt1 0.000 0.000 0.500
Au1 0.500 0.000 0.000
Au2 0.000 0.500 0.000
```


No. 7
VASP calculation (GGA-PBE) on a geometry-optimized Na2BRuAu structure.

Properties
* density of states at the Fermi level: 3.238 states/eV per cell
* DFT total energy: -17.6 eV for the cell shown

The structure in CIF format:
```
data_Na2BRuAu
_space_group_name_H-M_alt 'P 1'
_space_group_IT_number 1
_cell_length_a 5.613
_cell_length_b 3.865
_cell_length_c 5.613
_cell_angle_alpha 90.00
_cell_angle_beta 90.00
_cell_angle_gamma 90.00
loop_
_space_group_symop_operation_xyz
'x,y,z'
loop_
_atom_site_label
_atom_site_fract_x
_atom_site_fract_y
_atom_site_fract_z
Na1 0.500 0.000 0.000
Na2 0.000 0.000 0.500
B1 0.000 0.500 0.000
Au1 0.500 0.500 0.500
Ru1 0.000 0.000 0.000
```


No. 8
VASP calculation (GGA-PBE) on a geometry-optimized NaB2WAu structure.

Properties
* density of states at the Fermi level: 2.749 states/eV per cell
* DFT total energy: -26.1 eV for the cell shown

The structure in CIF format:
```
data_NaB2WAu
_space_group_name_H-M_alt 'P 1'
_space_group_IT_number 1
_cell_length_a 4.248
_cell_length_b 5.253
_cell_length_c 4.248
_cell_angle_alpha 90.00
_cell_angle_beta 90.00
_cell_angle_gamma 90.00
loop_
_space_group_symop_operation_xyz
'x,y,z'
loop_
_atom_site_label
_atom_site_fract_x
_atom_site_fract_y
_atom_site_fract_z
B1 0.000 0.000 0.500
B2 0.500 0.000 0.000
Au1 0.000 0.500 0.000
W1 0.000 0.000 0.000
Na1 0.500 0.500 0.500
```